{
  "formula": "CsMo3W",
  "functional": "PBE-GGA",
  "state": "optimized geometry",
  "cell": [[4.8053, 0.0000, 0.0000], [0.0000, 4.8053, 0.0000], [0.0000, 0.0000, 4.8053]],
  "species": ["Cs", "Mo", "Mo", "Mo", "W"],
  "fractional_positions": [[0.0000, 0.0000, 0.0000], [0.0000, 0.5000, 0.0000], [0.0000, 0.0000, 0.5000], [0.5000, 0.0000, 0.0000], [0.5000, 0.5000, 0.5000]],
  "dos_ef_per_ev_atom": 1.3879,
  "vol_a3_per_cell": 110.96,
  "energy_ev_per_cell": -28.16,
  "e_above_lowest_polymorph_mev_per_atom": 1576.0,
  "sg": "Pm-3m, No. 221",
  "e_form_mev_per_atom": 3627.5
}